No. 1
An optimized crystal structure of Rb4Dy3GaO8, computed with PBE.

```
Rb4Dy3GaO8
1.0
3.4312 1.9810 6.5289
-3.4312 1.9810 6.5289
0.0000 -3.9620 6.5289
Rb Dy Ga O
4 3 1 8
direct
0.0000 0.0000 0.0000
0.0000 0.5000 0.5000
0.5000 0.0000 0.5000
0.5000 0.5000 0.0000
0.0000 0.0000 0.5000
0.0000 0.5000 0.0000
0.5000 0.0000 0.0000
0.5000 0.5000 0.5000
0.2252 0.2252 0.2252
0.2415 0.7155 0.7155
0.2845 0.2845 0.7585
0.2845 0.7585 0.2845
0.7155 0.2415 0.7155
0.7155 0.7155 0.2415
0.7585 0.2845 0.2845
0.7748 0.7748 0.7748
```

Values from the calculation:
Calculated total energy: -97.97 eV/cell
SG: R-3m
Fermi-level density of states: 0.000 states/eV per cell
Energy relative to the elements, uncorrected: -2.350 eV/atom

No. 2
An optimized crystal structure of RbDy4Ga3O12, computed with PBE.

```
RbDy4Ga3O12
1.0
-4.1224 4.1224 4.1224
4.1224 -4.1224 4.1224
4.1224 4.1224 -4.1224
Rb Dy Ga O
1 4 3 12
direct
0.0000 0.0000 0.0000
0.0000 0.0000 0.5000
0.0000 0.5000 0.0000
0.5000 0.0000 0.0000
0.5000 0.5000 0.5000
0.0000 0.5000 0.5000
0.5000 0.0000 0.5000
0.5000 0.5000 0.0000
0.1600 0.4915 0.3315
0.1600 0.8284 0.6685
0.1716 0.3315 0.8400
0.3315 0.1600 0.4915
0.3315 0.8400 0.1716
0.4915 0.3315 0.1600
0.5085 0.6685 0.8400
0.6685 0.1600 0.8284
0.6685 0.8400 0.5085
0.8284 0.6685 0.1600
0.8400 0.1716 0.3315
0.8400 0.5085 0.6685
```

Values from the calculation:
Calculated total energy: -135.75 eV/cell
SG: Im-3
Fermi-level density of states: 6.419 states/eV per cell
Energy relative to the elements, uncorrected: -2.390 eV/atom